DFT (PBE-GGA) results for a geometry-optimized Th4C3O structure.

## Properties
Space group ... No. 221
Energy relative to the elements, uncorrected ... -0.9464 eV per atom
ΔE to the lowest computed polymorph ... 17.6 kJ/mol of formula units

Cell: 5.294 5.294 5.294 Å, 90.00 90.00 90.00°
Sites, in units of the cell vectors:
C1 0.500 0.500 0.000
C2 0.500 0.000 0.500
C3 0.000 0.500 0.500
Th1 0.500 0.500 0.500
Th2 0.000 0.000 0.500
Th3 0.000 0.500 0.000
Th4 0.500 0.000 0.000
O1 0.000 0.000 0.000

---

DFT (PBE-GGA) results for a geometry-optimized CeErTm2Ru4 structure.

## Properties
Space group ... No. 166
Calculated formation energy ... -0.450 eV per atom

Cell: 4.806 4.806 8.206 Å, 72.97 72.97 60.00°
Sites, in units of the cell vectors:
Ru1 0.621 0.621 0.136
Ru2 0.127 0.127 0.618
Ru3 0.379 0.379 0.864
Ru4 0.873 0.873 0.382
Ce1 0.500 0.500 0.500
Tm1 0.747 0.747 0.759
Tm2 0.253 0.253 0.241
Er1 0.000 0.000 0.000

---

DFT (PBE-GGA) results for a geometry-optimized ZrIn structure.

## Properties
Space group ... No. 227
Calculated formation energy ... 0.174 eV per atom

Cell: 5.081 5.081 5.081 Å, 60.00 60.00 60.00°
Each line ends with the local moment (μB).
Sites, in units of the cell vectors:
Zr1 0.250 0.250 0.250  0.57
Zr2 0.500 0.500 0.500  0.57
In1 0.750 0.750 0.750  -0.03
In2 0.000 0.000 0.000  -0.03

---

DFT (PBE-GGA) results for a geometry-optimized BaSrBr2 structure.

## Properties
Space group ... No. 216
Energy relative to the elements, uncorrected ... -0.7983 eV per atom
ΔE to the lowest computed polymorph ... 271.0 kJ/mol of formula units

Cell: 6.167 6.167 6.167 Å, 60.00 60.00 60.00°
Sites, in units of the cell vectors:
Sr1 0.750 0.750 0.750
Ba1 0.500 0.500 0.500
Br1 0.250 0.250 0.250
Br2 0.000 0.000 0.000

---

DFT (PBE-GGA) results for a geometry-optimized CsRb structure.

## Properties
Space group ... No. 44
Calculated formation energy ... 0.012 eV per atom
ΔE to the lowest computed polymorph ... 2.3 kJ/mol of formula units

Cell: 14.608 8.359 9.987 Å, 90.00 90.00 90.00°
Sites, in units of the cell vectors:
Cs1 0.000 0.000 0.917
Cs2 0.672 0.000 0.669
Cs3 0.328 0.000 0.669
Cs4 0.172 0.500 0.169
Cs5 0.500 0.500 0.417
Cs6 0.828 0.500 0.169
Rb1 0.500 0.500 0.917
Rb2 0.659 0.000 0.165
Rb3 0.341 0.000 0.165
Rb4 0.000 0.000 0.417
Rb5 0.841 0.500 0.665
Rb6 0.159 0.500 0.665

---

DFT (PBE-GGA) results for a geometry-optimized PrU2PaP4 structure.

## Properties
Space group ... No. 10
Calculated formation energy ... -1.170 eV per atom

Cell: 3.975 7.010 6.906 Å, 70.90 90.00 90.00°
Each line ends with the local moment (μB).
Sites, in units of the cell vectors:
Pr1 0.500 0.500 0.000  -0.01
U1 0.500 0.000 0.500  1.84
U2 0.000 0.000 0.000  2.08
P1 0.500 0.244 0.744  -0.04
P2 0.000 0.763 0.737  -0.04
P3 0.500 0.756 0.256  -0.04
P4 0.000 0.237 0.263  -0.04
Pa1 0.000 0.500 0.500  0.20

---

DFT (PBE-GGA) results for a geometry-optimized SrSn3Te structure.

## Properties
Space group ... No. 221
Energy relative to the elements, uncorrected ... 0.1838 eV per atom
ΔE to the lowest computed polymorph ... 0.0 kJ/mol of formula units

Cell: 5.868 5.868 5.868 Å, 90.00 90.00 90.00°
Sites, in units of the cell vectors:
Sn1 0.500 0.000 0.000
Sn2 0.000 0.000 0.500
Sn3 0.000 0.500 0.000
Sr1 0.500 0.500 0.500
Te1 0.000 0.000 0.000

---

DFT (PBE-GGA) results for a geometry-optimized Sc2SiNi structure.

## Properties
Space group ... No. 119
Energy relative to the elements, uncorrected ... -0.4419 eV per atom

Cell: 5.302 5.302 5.302 Å, 137.50 137.50 61.67°
Sites, in units of the cell vectors:
Sc1 0.250 0.750 0.500
Sc2 0.000 0.000 0.000
Ni1 0.750 0.250 0.500
Si1 0.500 0.500 0.000

---

DFT (PBE-GGA) results for a geometry-optimized Tb3HoTl4Se8 structure.

## Properties
Space group ... No. 166
Energy relative to the elements, uncorrected ... -1.3888 eV per atom

Cell: 8.391 9.161 8.391 Å, 117.28 120.00 90.00°
Sites, in units of the cell vectors:
Tb1 0.500 0.500 0.000
Tb2 0.000 0.500 0.500
Tb3 0.500 0.500 0.500
Tl1 0.000 0.000 0.000
Tl2 0.500 0.000 0.000
Tl3 0.000 0.000 0.500
Tl4 0.500 0.000 0.500
Se1 0.234 0.704 0.971
Se2 0.766 0.296 0.532
Se3 0.766 0.296 0.029
Se4 0.265 0.295 0.530
Se5 0.737 0.704 0.971
Se6 0.735 0.705 0.470
Se7 0.234 0.704 0.468
Se8 0.263 0.296 0.029
Ho1 0.000 0.500 0.000

---

DFT (PBE-GGA) results for a geometry-optimized TbEr4Ir5 structure.

## Properties
Space group ... No. 123
Calculated formation energy ... -0.855 eV per atom

Cell: 3.330 3.330 17.776 Å, 90.00 90.00 90.00°
Sites, in units of the cell vectors:
Ir1 0.500 0.500 0.301
Ir2 0.500 0.500 0.897
Ir3 0.500 0.500 0.500
Ir4 0.500 0.500 0.699
Ir5 0.500 0.500 0.103
Er1 0.000 0.000 0.798
Er2 0.000 0.000 0.202
Er3 0.000 0.000 0.401
Er4 0.000 0.000 0.599
Tb1 0.000 0.000 0.000

---

DFT (PBE-GGA) results for a geometry-optimized Na2Sr2Cu structure.

## Properties
Space group ... No. 127
Calculated formation energy ... 0.232 eV per atom
ΔE to the lowest computed polymorph ... 10.8 kJ/mol of formula units

Cell: 7.914 7.914 5.768 Å, 90.00 90.00 90.00°
Sites, in units of the cell vectors:
Cu1 0.500 0.500 0.000
Cu2 0.000 0.000 0.000
Sr1 0.184 0.684 0.500
Sr2 0.684 0.816 0.500
Sr3 0.316 0.184 0.500
Sr4 0.816 0.316 0.500
Na1 0.358 0.858 0.000
Na2 0.142 0.358 0.000
Na3 0.858 0.642 0.000
Na4 0.642 0.142 0.000

---

DFT (PBE-GGA) results for a geometry-optimized La2Al12Cu5 structure.

## Properties
Space group ... No. 166
Calculated formation energy ... -0.290 eV per atom

Cell: 6.911 6.911 6.911 Å, 82.55 82.55 82.55°
Sites, in units of the cell vectors:
Al1 0.141 0.659 0.659
Al2 0.341 0.859 0.341
Al3 0.859 0.341 0.341
Al4 0.712 0.000 0.288
Al5 0.000 0.712 0.288
Al6 0.288 0.712 0.000
Al7 0.659 0.659 0.141
Al8 0.659 0.141 0.659
Al9 0.712 0.288 0.000
Al10 0.000 0.288 0.712
Al11 0.288 0.000 0.712
Al12 0.341 0.341 0.859
Cu1 0.902 0.902 0.902
Cu2 0.000 0.500 0.000
Cu3 0.500 0.000 0.000
Cu4 0.000 0.000 0.500
Cu5 0.098 0.098 0.098
La1 0.656 0.656 0.656
La2 0.344 0.344 0.344

---

DFT (PBE-GGA) results for a geometry-optimized Mg3AlAg3 structure.

## Properties
Space group ... No. 65
Calculated formation energy ... -0.137 eV per atom

Cell: 6.528 6.528 6.422 Å, 90.00 90.00 87.65°
Sites, in units of the cell vectors:
Mg1 0.300 0.700 0.000
Mg2 0.700 0.300 0.000
Mg3 0.746 0.746 0.500
Mg4 0.254 0.254 0.500
Mg5 0.743 0.257 0.500
Mg6 0.257 0.743 0.500
Al1 0.756 0.756 0.000
Al2 0.244 0.244 0.000
Ag1 0.000 0.000 0.768
Ag2 0.500 0.000 0.241
Ag3 0.000 0.000 0.232
Ag4 0.500 0.000 0.759
Ag5 0.000 0.500 0.759
Ag6 0.000 0.500 0.241

---

DFT (PBE-GGA) results for a geometry-optimized BPS4Cl2 structure.

## Properties
Space group ... No. 15
Energy relative to the elements, uncorrected ... 0.2104 eV per atom

Cell: 7.270 7.270 12.570 Å, 112.52 112.52 72.81°
Sites, in units of the cell vectors:
S1 0.687 0.243 0.537
S2 0.878 0.655 0.913
S3 0.257 0.813 0.963
S4 0.743 0.187 0.037
S5 0.155 0.378 0.413
S6 0.122 0.345 0.087
S7 0.313 0.757 0.463
S8 0.845 0.622 0.587
B1 0.000 0.500 0.500
B2 0.000 0.500 0.000
Cl1 0.500 0.500 0.000
Cl2 0.000 0.000 0.500
Cl3 0.500 0.000 0.500
Cl4 0.500 0.000 0.000
P1 0.500 0.500 0.500
P2 0.000 0.000 0.000

---

DFT (PBE-GGA) results for a geometry-optimized Pr2Sc3Rh2 structure.

## Properties
Space group ... No. 12
Calculated formation energy ... -0.543 eV per atom

Cell: 3.698 6.225 8.088 Å, 73.07 76.78 72.72°
Sites, in units of the cell vectors:
Sc1 0.623 0.187 0.566
Sc2 0.377 0.813 0.434
Sc3 0.500 0.000 0.000
Rh1 0.840 0.079 0.241
Rh2 0.160 0.921 0.759
Pr1 0.154 0.490 0.201
Pr2 0.846 0.510 0.799

---

DFT (PBE-GGA) results for a geometry-optimized Ca3CeIn4 structure.

## Properties
Space group ... No. 69
Calculated formation energy ... -0.433 eV per atom

Cell: 5.435 5.435 8.698 Å, 108.20 108.20 89.93°
Each line ends with the local moment (μB).
Sites, in units of the cell vectors:
In1 0.374 0.373 0.747  0.01
In2 0.873 0.874 0.747  0.01
In3 0.626 0.627 0.253  0.01
In4 0.127 0.126 0.253  0.01
Ca1 0.248 0.748 0.496  0.00
Ca2 0.752 0.252 0.504  0.00
Ca3 0.000 0.500 0.000  0.00
Ce1 0.500 0.000 0.000  0.85

---

DFT (PBE-GGA) results for a geometry-optimized TaAlTeI2 structure.

## Properties
Space group ... No. 123
Energy relative to the elements, uncorrected ... 0.3654 eV per atom
ΔE to the lowest computed polymorph ... 0.0 kJ/mol of formula units

Cell: 5.631 5.631 5.437 Å, 90.00 90.00 90.00°
Each line ends with the local moment (μB).
Sites, in units of the cell vectors:
I1 0.000 0.500 0.000  0.01
I2 0.500 0.000 0.000  0.01
Ta1 0.000 0.000 0.000  0.48
Al1 0.500 0.500 0.500  0.01
Te1 0.000 0.000 0.500  -0.01

---

DFT (PBE-GGA) results for a geometry-optimized SrLiNb2Ga structure.

## Properties
Space group ... No. 123
Calculated formation energy ... 1.969 eV per atom

Cell: 5.070 4.316 5.070 Å, 90.00 90.00 90.00°
Sites, in units of the cell vectors:
Sr1 0.000 0.000 0.000
Li1 0.000 0.500 0.000
Ga1 0.500 0.500 0.500
Nb1 0.500 0.000 0.000
Nb2 0.000 0.000 0.500

---

DFT (PBE-GGA) results for a geometry-optimized CsK2IO structure.

## Properties
Space group ... No. 63
Energy relative to the elements, uncorrected ... -1.1206 eV per atom
ΔE to the lowest computed polymorph ... 42.2 kJ/mol of formula units

Cell: 4.695 9.349 9.262 Å, 90.00 90.00 104.54°
Each line ends with the local moment (μB).
Sites, in units of the cell vectors:
K1 0.134 0.267 0.981  0.00
K2 0.866 0.733 0.481  0.00
K3 0.866 0.733 0.019  0.00
K4 0.134 0.267 0.519  0.00
I1 0.725 0.450 0.750  0.00
I2 0.275 0.550 0.250  0.00
O1 0.000 0.000 0.500  0.06
O2 0.000 0.000 0.000  0.06
Cs1 0.493 0.986 0.750  0.00
Cs2 0.507 0.014 0.250  0.00

---

DFT (PBE-GGA) results for a geometry-optimized LiSmPuTc structure.

## Properties
Space group ... No. 216
Calculated formation energy ... 0.150 eV per atom

Cell: 4.941 4.941 4.941 Å, 60.00 60.00 60.00°
Each line ends with the local moment (μB).
Sites, in units of the cell vectors:
Li1 0.500 0.500 0.500  0.04
Pu1 0.250 0.250 0.250  5.16
Sm1 0.750 0.750 0.750  0.03
Tc1 0.000 0.000 0.000  -0.71